(1)
DFT (PBE-GGA) results for a relaxed Nd2TiNi3Ge4 crystal.

abc: 4.1271 4.1271 10.3980
angles: 90.00 90.00 90.00
Closest atoms and distances in Å follow each position.
Fractional coordinates of all 10 atoms:
Ti1 0.5000 0.5000 0.5000  4 Ge 2.57
Ge1 0.0000 0.0000 0.0000  4 Ni 2.41
Ge2 0.5000 0.5000 0.0000  4 Ni 2.41
Ge3 0.0000 0.5000 0.3532  3 Ni 2.43-2.57, 2 Ti 2.57
Ge4 0.5000 0.0000 0.6468  3 Ni 2.43-2.57, 2 Ti 2.57
Ni1 0.0000 0.0000 0.5000  4 Ge 2.57
Ni2 0.0000 0.5000 0.1192  5 Ge 2.41-2.43
Ni3 0.5000 0.0000 0.8808  5 Ge 2.41-2.43
Nd1 0.0000 0.5000 0.7639  6 Ni 3.16-3.43, 8 Ge 3.16-3.21, 2 Ti 3.43
Nd2 0.5000 0.0000 0.2361  6 Ni 3.16-3.43, 8 Ge 3.16-3.21, 2 Ti 3.43

ΔE_f ... -66.1 kJ per mole of atoms
M_tot ... 0.000 μB/cell
Final energy ... -6.0091 eV/atom

(2)
DFT (PBE-GGA) results for a relaxed Ce2CuS2N2 crystal.

abc: 3.9703 3.9703 10.5299
angles: 90.00 90.00 120.00
Closest atoms and distances in Å follow each position.
Fractional coordinates of all 7 atoms:
Cu1 0.0000 0.0000 0.0000  2 S 2.10
N1 0.3333 0.6667 0.4209  4 Ce 2.27-2.37
N2 0.6667 0.3333 0.5791  4 Ce 2.27-2.37
Ce1 0.3333 0.6667 0.6367  4 N 2.27-2.37
Ce2 0.6667 0.3333 0.3633  4 N 2.27-2.37
S1 0.0000 0.0000 0.1996  1 Cu 2.10
S2 0.0000 0.0000 0.8004  1 Cu 2.10

Formation energy from raw total energies ... -106.4 kJ per mole of atoms
M_tot ... 0.000 μB/cell
Final energy ... -6.9417 eV/atom

(3)
DFT (PBE-GGA) results for a relaxed Re4RuSe crystal.

abc: 5.1879 5.1879 5.1879
angles: 60.00 60.00 60.00
Closest atoms and distances in Å follow each position.
Fractional coordinates of all 6 atoms:
Se1 0.0000 0.0000 0.0000  12 Re 3.04, 4 Ru 3.18
Re1 0.1253 0.6249 0.6249  6 Re 2.59-2.60
Re2 0.6249 0.1253 0.6249  6 Re 2.59-2.60
Re3 0.6249 0.6249 0.6249  6 Re 2.59-2.60
Re4 0.6249 0.6249 0.1253  6 Re 2.59-2.60
Ru1 0.2500 0.2500 0.2500  12 Re 3.04, 4 Se 3.18

Formation energy from raw total energies ... 85.2 kJ per mole of atoms
M_tot ... 0.030 μB/cell
Final energy ... -9.5423 eV/atom

(4)
DFT (PBE-GGA) results for a relaxed K2HgW crystal.

abc: 6.6080 6.6080 2.8927
angles: 89.97 89.97 123.39
Closest atoms and distances in Å follow each position.
Fractional coordinates of all 4 atoms:
Hg1 0.0000 0.5000 0.5000  2 Hg 2.89, 2 W 3.13
K1 0.0000 0.0000 0.0000  4 K 2.89-3.13
K2 0.5000 0.5000 0.0000  4 K 2.89-3.13
W1 0.5000 0.0000 0.5000  2 W 2.89, 2 Hg 3.13

ΔE_f ... 115.3 kJ per mole of atoms
M_tot ... 1.040 μB/cell
Final energy ... -2.6674 eV/atom

Which formula does entry 2 have? Ce2CuS2N2